No. 1
First-principles (GGA-PBE) data for KCdFe2 after structural relaxation, as listed in Alexandria via LeMat-Bulk.

## Properties
- Formation energy from the elements: 58.9 kJ/mol of atoms
- Calculated volume: 91 Å³ per cell
- Magnetization: 4.8 Bohr magnetons per cell

a b c (Å): 4.3670 4.3670 7.8337
angles (deg): 84.45 84.45 37.98
Closest atoms and distances in Å follow each position.
Fractional positions:
Cd (0.2747, 0.2747, 0.1698)  5 Fe 2.78-3.09, 2 Cd 2.84
Fe (0.0033, 0.0033, 0.9263)  3 Fe 2.31-2.38
Fe (0.7237, 0.7237, 0.8752)  3 Fe 2.31-2.38
K (0.4983, 0.4983, 0.5287)  2 K 2.84

---

No. 2
First-principles (GGA-PBE) data for KCdFe2 after structural relaxation, as listed in Alexandria via LeMat-Bulk.

## Properties
- Formation energy from the elements: 45.8 kJ/mol of atoms
- Calculated volume: 84 Å³ per cell
- Magnetization: 5.4 Bohr magnetons per cell

a b c (Å): 3.1597 3.1387 8.4651
angles (deg): 90.00 90.00 90.00
Closest atoms and distances in Å follow each position.
Fractional positions:
Cd (0.5000, 0.5000, 0.8225)  5 Fe 2.83-2.91, 4 Cd 3.14-3.16
Fe (0.0000, 0.0000, 0.0432)  4 Fe 2.43
Fe (0.5000, 0.5000, 0.1572)  4 Fe 2.43
K (0.0000, 0.0000, 0.4771)  4 K 3.14-3.16, 4 Fe 3.51